Here is a relaxed structure of Te4S from Alexandria via LeMat-Bulk. Energies are from PBE.

Calculated values
total energy: -14.06 eV for the cell shown

Cell lengths 5.2895, 5.2895, 5.2895 Å; angles 90.00, 90.00, 90.00 degrees
Closest atoms and distances in Å follow each position.
Space group Pm-3m (No. 221)
Asymmetric unit:
Te  0.0000  0.0000  0.0000 x1  12 Te 3.74
Te  0.0000  0.5000  0.5000 x3  2 S 2.64
S  0.5000  0.5000  0.5000 x1  6 Te 2.64


Here is a relaxed structure of Nb3Ir2Au from Alexandria via LeMat-Bulk. Energies are from PBE.

Calculated values
total energy: -210.44 eV for the cell shown
formation enthalpy at 0 K: -0.234 eV/atom

Cell lengths 8.8786, 8.9689, 5.3632 Å; angles 90.00, 90.00, 90.00 degrees
Closest atoms and distances in Å follow each position.
Space group Cmcm (No. 63)
Asymmetric unit:
Nb  0.0000  0.0765  0.2500 x4  4 Ir 2.67, 1 Au 2.69
Nb  0.1588  0.2467  0.7500 x8  4 Ir 2.71-2.76, 1 Nb 2.82
Ir  0.2481  0.0000  0.0000 x8  6 Nb 2.67-2.76, 2 Ir 2.68, 2 Au 2.83
Au  0.0000  0.3766  0.2500 x4  1 Nb 2.69, 4 Ir 2.83


Here is a relaxed structure of BeHCl from Alexandria via LeMat-Bulk. Energies are from PBE.

Calculated values
total energy: -44.57 eV for the cell shown

Cell lengths 4.3043, 10.7377, 4.9439 Å; angles 90.00, 90.00, 90.00 degrees
Closest atoms and distances in Å follow each position.
Space group Ama2 (No. 40)
Asymmetric unit:
Be  0.0000  0.0000  0.0000 x4  2 H 1.46
H  0.2500  0.0544  0.8389 x4  2 Be 1.46
Cl  0.2500  0.3759  0.7160 x4  2 Be 2.02


Here is a relaxed structure of Sm2ErZnS5 from Alexandria via LeMat-Bulk. Energies are from PBE.

Calculated values
total energy: -206.13 eV for the cell shown

Cell lengths 3.8326, 16.8098, 11.8791 Å; angles 90.00, 90.00, 90.00 degrees
Closest atoms and distances in Å follow each position.
Space group Cmc2_1 (No. 36)
Asymmetric unit:
Sm  0.0000  0.1145  0.0000 x4  8 S 2.91-3.02
Sm  0.0000  0.1324  0.6342 x4  7 S 2.87-3.12
Er  0.0000  0.1980  0.3320 x4  6 S 2.67-2.72
Zn  0.0000  0.4546  0.7639 x4  3 S 2.26-2.30
S  0.0000  0.0403  0.3710 x4  2 Zn 2.30
S  0.0000  0.2900  0.9916 x4  2 Er 2.70, 3 Sm 2.87-2.95
S  0.0000  0.3163  0.6709 x4  1 Zn 2.57, 2 Er 2.72
S  0.0000  0.3565  0.3203 x4  1 Er 2.67, 4 Sm 2.91-2.93
S  0.0000  0.4928  0.0885 x4  1 Zn 2.26


Here is a relaxed structure of HfAl6Zn from Alexandria via LeMat-Bulk. Energies are from PBE.

Calculated values
total energy: -68.62 eV for the cell shown
formation enthalpy at 0 K: -0.079 eV/atom

Cell lengths 5.3119, 9.6240, 5.5645 Å; angles 90.00, 101.37, 90.00 degrees
Closest atoms and distances in Å follow each position.
Space group C2/m (No. 12)
Asymmetric unit:
Hf  0.0000  0.0000  0.0000 x2  2 Zn 2.78, 12 Al 2.91-3.10
Al  0.0381  0.5000  0.2424 x4  1 Zn 2.59, 5 Al 2.65-2.80
Al  0.1961  0.2525  0.7442 x8  6 Al 2.66-2.89, 1 Zn 2.88
Zn  0.0000  0.0000  0.5000 x2  6 Al 2.59-2.88, 2 Hf 2.78


Here is a relaxed structure of KSi2Cl from Alexandria via LeMat-Bulk. Energies are from PBE.

Calculated values
total energy: -30.21 eV for the cell shown

Cell lengths 3.5138, 3.5466, 15.3207 Å; angles 90.00, 90.00, 90.00 degrees
Closest atoms and distances in Å follow each position.
Space group Amm2 (No. 38)
Asymmetric unit:
K  0.0000  0.0000  0.0000 x2  4 Cl 3.02
Si  0.0000  0.0000  0.3031 x2  4 Si 2.55
Si  0.5000  0.0000  0.7706 x2  1 Cl 2.44, 4 Si 2.55
Cl  0.5000  0.0000  0.6113 x2  1 Si 2.44


Here is a relaxed structure of LaSiI from Alexandria via LeMat-Bulk. Energies are from PBE.

Calculated values
total energy: -30.64 eV for the cell shown

Cell lengths 4.2387, 4.2387, 12.4886 Å; angles 90.00, 90.00, 120.00 degrees
Closest atoms and distances in Å follow each position.
Space group P-3m1 (No. 164)
Asymmetric unit:
La  0.0000  0.0000  0.1644 x2  6 Si 3.15-3.23, 3 I 3.28
Si  0.3333  0.6667  0.9950 x2  3 Si 2.45
I  0.3333  0.6667  0.3392 x2  3 La 3.28


Here is a relaxed structure of Na3Ho3RuO8 from Alexandria via LeMat-Bulk. Energies are from PBE.

Calculated values
total energy: -308.81 eV for the cell shown

Cell lengths 6.6552, 6.6552, 16.6695 Å; angles 90.00, 90.00, 120.00 degrees
Closest atoms and distances in Å follow each position.
Space group R-3m (No. 166, hexagonal axes)
Asymmetric unit:
Na  0.0000  0.5000  0.0000 x9  6 O 2.49-2.51
Ho  0.0000  0.5000  0.5000 x9  6 O 2.25-2.29
Ru  0.0000  0.0000  0.5000 x3  6 O 2.08
O  0.0000  0.0000  0.2365 x6  3 Ho 2.25, 3 Na 2.51
O  0.0272  0.5136  0.2330 x18  1 Ru 2.08, 2 Ho 2.29


Which formula does entry 2 have?
Nb3Ir2Au


The lowest total energy belongs to which entry?
Na3Ho3RuO8


Among the records above, which one has the highest total energy?
Te4S


Number 4 is which compound?
Sm2ErZnS5